1.
Below is a relaxed structure of PtPb3, with properties calculated at the PBE-GGA level.

Cell: 3.8106 9.2330 6.3199 Å, 90.00 90.23 90.00°
Space group P2_1/m (No. 11)
Symmetry-distinct sites (fractional):
Pt1 0.2498 0.2500 0.0200
Pb1 0.2486 0.5576 0.7722
Pb2 0.2523 0.7500 0.3098

Output
- DOS at the Fermi energy (states/eV/atom) = 0.490
- ρ (Mg/m³) = 12.20
- energy (eV per cell) = -35.39
- energy above the lowest structure with this stoichiometry (meV per atom) = 8
- ΔH_f (0 K) (eV/atom) = -0.1323

***

2.
Below is a relaxed structure of Pt3Pb, with properties calculated at the PBE-GGA level.

Cell: 8.9751 3.6680 4.5643 Å, 90.00 106.04 90.00°
Space group C2/m (No. 12)
Symmetry-distinct sites (fractional):
Pt1 0.0000 0.0000 0.0000
Pt2 0.2462 0.5000 0.2361
Pb1 0.0000 0.5000 0.5000

Output
- DOS at the Fermi energy (states/eV/atom) = 0.711
- ρ (Mg/m³) = 18.22
- energy (eV per cell) = -43.54
- ΔH_f (0 K) (eV/atom) = 0.0146

***

3.
Below is a relaxed structure of PtPb, with properties calculated at the PBE-GGA level.

Cell: 3.5124 3.5124 7.4773 Å, 90.00 90.00 90.00°
Space group P4/nmm (No. 129, origin choice 2)
Symmetry-distinct sites (fractional):
Pt1 0.2500 0.2500 0.0976
Pb1 0.2500 0.2500 0.6989

Output
- DOS at the Fermi energy (states/eV/atom) = 0.403
- ρ (Mg/m³) = 14.48
- energy (eV per cell) = -19.93
- ΔH_f (0 K) (eV/atom) = -0.1074

***

4.
Below is a relaxed structure of PtPb3, with properties calculated at the PBE-GGA level.

Cell: 6.7296 6.7296 10.5637 Å, 90.00 90.00 120.00°
Space group P6_3/mmc (No. 194)
Symmetry-distinct sites (fractional):
Pt1 0.0000 0.0000 0.0000
Pt2 0.3333 0.6667 0.2500
Pb1 0.0000 0.5000 0.0000
Pb2 0.1581 0.3162 0.7500

Output
- DOS at the Fermi energy (states/eV/atom) = 0.389
- ρ (Mg/m³) = 13.09
- energy (eV per cell) = -67.24
- energy above the lowest structure with this stoichiometry (meV per atom) = 230
- ΔH_f (0 K) (eV/atom) = 0.0890

***

5.
Below is a relaxed structure of PtPb, with properties calculated at the PBE-GGA level.

Cell: 9.3680 9.3680 4.7090 Å, 90.00 90.00 120.00°
Space group P6_3/m (No. 176)
Symmetry-distinct sites (fractional):
Pt1 0.0082 0.5827 0.2500
Pb1 0.1037 0.7599 0.7500

Output
- DOS at the Fermi energy (states/eV/atom) = 0.425
- ρ (Mg/m³) = 11.20
- energy (eV per cell) = -57.64
- ΔH_f (0 K) (eV/atom) = 0.0712

***

6.
Below is a relaxed structure of Pt3Pb2, with properties calculated at the PBE-GGA level.

Cell: 4.0994 4.0994 22.3281 Å, 90.00 90.00 120.00°
Space group R-3m (No. 166, hexagonal axes)
Symmetry-distinct sites (fractional):
Pt1 0.0000 0.0000 0.0000
Pt2 0.0000 0.0000 0.1927
Pb1 0.0000 0.0000 0.4043

Output
- DOS at the Fermi energy (states/eV/atom) = 0.495
- ρ (Mg/m³) = 15.32
- energy (eV per cell) = -76.48
- energy above the lowest structure with this stoichiometry (meV per atom) = 118
- ΔH_f (0 K) (eV/atom) = 0.0094

***

Q: DOS at the Fermi energy of number 6 (Pt3Pb2)?
A: 0.495 states/eV/atom

***

Q: What is the energy in the sixth record?
A: -76.48 eV per cell

***

Repeat the fourth record exactly.
Below is a relaxed structure of PtPb3, with properties calculated at the PBE-GGA level.

Cell: 6.7296 6.7296 10.5637 Å, 90.00 90.00 120.00°
Space group P6_3/mmc (No. 194)
Symmetry-distinct sites (fractional):
Pt1 0.0000 0.0000 0.0000
Pt2 0.3333 0.6667 0.2500
Pb1 0.0000 0.5000 0.0000
Pb2 0.1581 0.3162 0.7500

Output
- DOS at the Fermi energy (states/eV/atom) = 0.389
- ρ (Mg/m³) = 13.09
- energy (eV per cell) = -67.24
- energy above the lowest structure with this stoichiometry (meV per atom) = 230
- ΔH_f (0 K) (eV/atom) = 0.0890

***

Q: Look up the ρ of the first one.
A: 12.20 Mg/m³